Entry 1:
The following is a GGA-PBEsol calculation of Rb after structural relaxation, from the Alexandria database.

Output
Energy of formation from the pure elements in eV per atom: 0.060
Total magnetization in μB per formula unit: 0.00
E in eV per atom: -0.97
V in A^3/atom: 88.11
Energy above the most stable polymorph in this dataset in kJ/mol of atoms: 5.8

Cell lengths 12.195, 8.962, 8.924 Å; angles 85.97, 47.14, 46.88 degrees
Element x y z (fractional)
Rb 0.005 0.745 0.005
Rb 0.255 0.995 0.255
Rb 0.745 0.005 0.745
Rb 0.995 0.255 0.995


Entry 2:
The following is a GGA-PBEsol calculation of ReIrRh after structural relaxation, from the Alexandria database.

Output
Energy of formation from the pure elements in eV per atom: 0.454
Total magnetization in μB per formula unit: 0.00
E in eV per atom: -9.98
V in A^3/atom: 16.63
Energy above the most stable polymorph in this dataset in kJ/mol of atoms: 59.5

Cell lengths 4.132, 4.132, 4.132 Å; angles 60.00, 60.00, 60.00 degrees
Element x y z (fractional)
Re 0.000 0.000 0.000
Ir 0.250 0.250 0.250
Rh 0.750 0.750 0.750